Record 1
ZnNiMo2 PBE-GGA optimized geometry; DFT formation energy = 0.15 eV per formula unit; DOS(E_F) = 2.65 states/eV/f.u.; calculated total energy = -28.57 eV per cell
1.0
2.626 0.000 0.000
0.000 4.283 0.000
-0.613 0.000 5.029
Zn Ni Mo
1 1 2
direct
0.000 0.000 0.000 Zn
0.976 0.500 0.753 Ni
0.383 0.000 0.514 Mo
0.590 0.500 0.240 Mo


Record 2
ZnNiMo2 PBE-GGA optimized geometry; DFT formation energy = 0.30 eV per formula unit; DOS(E_F) = 4.38 states/eV/f.u.; calculated total energy = -28.42 eV per cell
1.0
2.634 0.000 0.000
0.000 4.122 0.000
-0.129 0.000 5.192
Zn Ni Mo
1 1 2
direct
0.000 0.000 0.000 Zn
0.000 0.000 0.500 Ni
0.498 0.500 0.744 Mo
0.502 0.500 0.256 Mo


Record 3
ZnNiMo2 PBE-GGA optimized geometry; DFT formation energy = 0.85 eV per formula unit; DOS(E_F) = 4.36 states/eV/f.u.; calculated total energy = -27.87 eV per cell
1.0
1.356 0.783 9.048
-1.356 0.783 9.048
0.000 -1.566 9.048
Zn Ni Mo
1 1 2
direct
0.000 0.000 0.000 Zn
0.500 0.500 0.500 Ni
0.246 0.246 0.246 Mo
0.754 0.754 0.754 Mo


Record 4
ZnNi2Mo PBE-GGA optimized geometry; DFT formation energy = 0.04 eV per formula unit; DOS(E_F) = 3.93 states/eV/f.u.; calculated total energy = -23.62 eV per cell
1.0
1.340 0.773 8.362
-1.340 0.773 8.362
0.000 -1.547 8.362
Zn Ni Mo
1 2 1
direct
0.000 0.000 0.000 Zn
0.252 0.252 0.252 Ni
0.415 0.415 0.415 Ni
0.834 0.834 0.834 Mo


Record 5
ZnNi2Mo PBE-GGA optimized geometry; DFT formation energy = 0.30 eV per formula unit; DOS(E_F) = 2.56 states/eV/f.u.; calculated total energy = -23.37 eV per cell
1.0
-1.918 1.918 3.473
1.918 -1.918 3.473
1.918 1.918 -3.473
Zn Ni Mo
1 2 1
direct
0.000 0.000 0.000 Zn
0.500 0.500 0.000 Ni
0.750 0.250 0.500 Ni
0.250 0.750 0.500 Mo


Record 6
Zn2Ni15Mo2 PBE-GGA optimized geometry; DFT formation energy = 1.80 eV per formula unit; DOS(E_F) = 27.06 states/eV/f.u.; calculated total energy = -109.13 eV per cell
1.0
4.058 2.343 4.067
-4.058 2.343 4.067
0.000 -4.686 4.067
Zn Ni Mo
2 15 2
direct
0.104 0.104 0.104 Zn
0.896 0.896 0.896 Zn
0.000 0.000 0.500 Ni
0.000 0.330 0.670 Ni
0.000 0.500 0.000 Ni
0.000 0.670 0.330 Ni
0.169 0.662 0.662 Ni
0.330 0.000 0.670 Ni
0.330 0.670 0.000 Ni
0.338 0.338 0.831 Ni
0.338 0.831 0.338 Ni
0.500 0.000 0.000 Ni
0.662 0.169 0.662 Ni
0.662 0.662 0.169 Ni
0.670 0.000 0.330 Ni
0.670 0.330 0.000 Ni
0.831 0.338 0.338 Ni
0.392 0.392 0.392 Mo
0.608 0.608 0.608 Mo